Below is a relaxed NpBiF crystal, with properties calculated at the GGA-PBE level.

abc: 3.547 5.540 7.905
angles: 69.51 87.67 89.97
Element x y z (fractional)
Np1 0.240 0.444 0.112
Np2 0.760 0.556 0.888
Bi1 0.266 0.093 0.814
Bi2 0.734 0.907 0.186
F1 0.221 0.304 0.392
F2 0.779 0.696 0.608

Summary:
- Total moment: 0.7 μB/f.u.
- VASP energy: -7.55 eV per atom
- D(E_F): 4.273 states/eV/cell
- ΔE_f (raw): -1315.5 meV/atom